(1)
The following is a DFT calculation (PBE) of a relaxed structure of PrMg3Ag3.

Values from the calculation:
Energy relative to the elements, kJ per mole of atoms: -18.1
Density of states at the Fermi level, states/eV/f.u.: 4.59
Space-group type: P6_3/m
Energy relative to the lowest polymorph listed for this composition, meV per atom: 0.0

Cell: 5.0322 8.4199 8.4208 Å, 120.01 90.00 90.00°
Positions (direct):
Pr 0.7500 0.3333 0.6666
Pr 0.2500 0.6667 0.3334
Mg 0.7500 0.7758 0.0110
Mg 0.7500 0.2352 0.2242
Mg 0.7500 0.9890 0.7648
Mg 0.2500 0.2242 0.9890
Mg 0.2500 0.7648 0.7758
Mg 0.2500 0.0110 0.2352
Ag 0.7500 0.9222 0.3870
Ag 0.7500 0.4648 0.0778
Ag 0.7500 0.6130 0.5352
Ag 0.2500 0.0778 0.6130
Ag 0.2500 0.5352 0.9222
Ag 0.2500 0.3870 0.4648

(2)
The following is a DFT calculation (PBE) of a relaxed structure of Ca2AcLa.

Values from the calculation:
Energy relative to the elements, kJ per mole of atoms: 7.1
Density of states at the Fermi level, states/eV/f.u.: 5.59
Space-group type: P4/mmm
Energy relative to the lowest polymorph listed for this composition, meV per atom: 55.1

Cell: 4.3577 4.3577 8.7160 Å, 90.00 90.00 90.00°
Positions (direct):
Ac 0.5000 0.5000 0.0000
Ca 0.0000 0.0000 0.7401
Ca 0.0000 0.0000 0.2599
La 0.5000 0.5000 0.5000

> energy relative to the elements of number 1 (PrMg3Ag3)?

-18.1 kJ per mole of atoms